Material: Cs2UCrO6
Method: DFT, GGA+U
State: optimized geometry Values from VASP.

The structure in Quantum ESPRESSO input format:
```
&SYSTEM
  ibrav = 0, nat = 10, ntyp = 4
/
ATOMIC_SPECIES
Cs 132.91 Cs.upf
Cr 52.00 Cr.upf
O 16.00 O.upf
U 238.03 U.upf
ATOMIC_POSITIONS crystal
Cs 0.779 0.280 0.558
Cs 0.279 0.780 0.558
Cr 0.540 0.540 0.079
O 0.186 0.187 0.372
O 0.708 0.256 0.963
O 0.256 0.708 0.963
O 0.681 0.681 0.361
O 0.778 0.779 0.045
O 0.267 0.267 0.045
U 0.026 0.026 0.052
CELL_PARAMETERS angstrom
-0.891 3.508 4.229
0.898 -3.929 3.839
5.950 1.639 -3.964
```

Calculated values
**Volume**: 189.42 Å³/f.u.
**Crystal system**: orthorhombic
**E**: -7.17 eV/atom